Entry 1:
Density functional theory data (PBE) for crystalline FeNi3Pt at its relaxed geometry.

Results
Energy of formation = 5.0 eV per formula unit
ΔE to the lowest computed polymorph = 1102.6 meV/atom
Total energy = -26.84 eV/cell

Cell: 4.2089 4.2089 4.2089 Å, 90.00 90.00 90.00°
Site moments in Bohr magnetons follow the coordinates.
Fractional positions:
1 Ni 0.0000 0.5000 0.0000  0.81
2 Ni 0.5000 0.0000 0.0000  0.62
3 Ni 0.0000 0.0000 0.5000  0.99
4 Pt 0.5000 0.5000 0.5000  0.18
5 Fe 0.0000 0.0000 0.0000  2.68

=====

Entry 2:
Density functional theory data (PBE) for crystalline Fe2IrW at its relaxed geometry.

Results
Energy of formation = -0.3 eV per formula unit
Total energy = -39.06 eV/cell

Cell: 3.7871 3.7872 3.6335 Å, 90.00 90.00 90.00°
Site moments in Bohr magnetons follow the coordinates.
Fractional positions:
1 Fe 0.5000 0.5000 0.0000  0.36
2 W 0.0000 0.5000 0.5000  -0.13
3 Fe 0.0000 0.0000 0.0000  0.36
4 Ir 0.5000 0.0000 0.5000  0.00

=====

Entry 3:
Density functional theory data (PBE) for crystalline Zn2FeBr6 at its relaxed geometry.

Results
Raw formation energy = -0.707 eV per atom
Total energy = -54.82 eV/cell

Cell: 6.6675 10.2249 10.2249 Å, 90.15 71.82 71.82°
Site moments in Bohr magnetons follow the coordinates.
Fractional positions:
1 Br 0.8848 0.7704 0.4317  0.07
2 Br 0.6152 0.5683 0.2296  0.07
3 Br 0.9221 0.2366 0.9553  0.07
4 Br 0.7489 0.1907 0.3515  0.01
5 Zn 0.8958 0.3363 0.1808  0.00
6 Br 0.7511 0.6485 0.8093  0.01
7 Zn 0.6042 0.8192 0.6637  0.00
8 Br 0.1152 0.2296 0.5683  0.07
9 Br 0.2489 0.3515 0.1907  0.01
10 Fe 0.2500 0.2367 0.7633  3.37
11 Fe 0.7500 0.7633 0.2367  3.37
12 Zn 0.1042 0.6637 0.8192  0.00
13 Br 0.4221 0.9553 0.2366  0.07
14 Br 0.5779 0.0447 0.7634  0.07
15 Zn 0.3958 0.1808 0.3363  0.00
16 Br 0.3848 0.4317 0.7704  0.07
17 Br 0.2511 0.8093 0.6485  0.01
18 Br 0.0779 0.7634 0.0447  0.07

=====

Entry 4:
Density functional theory data (PBE) for crystalline Ac8DyY4 at its relaxed geometry.

Results
Energy of formation = 5.2 eV per formula unit
Total energy = -58.09 eV/cell

Cell: 11.7934 11.7934 8.3354 Å, 90.00 135.03 120.00°
Fractional positions:
1 Dy 0.0000 0.5000 0.5000
2 Ac 0.9994 0.2427 0.2421
3 Ac 0.5145 0.7572 0.2717
4 Ac 0.0006 0.2433 0.7579
5 Ac 0.0006 0.7573 0.7579
6 Y 0.0000 0.0000 0.0000
7 Ac 0.9994 0.7567 0.2421
8 Y 0.5000 0.0000 0.0000
9 Ac 0.5146 0.7573 0.7579
10 Y 0.5000 0.5000 0.0000
11 Y 0.0000 0.5000 0.0000
12 Ac 0.4854 0.2427 0.2421
13 Ac 0.4855 0.2428 0.7283

=====

Number 1: magnetic moment 5.25 μB/f.u.. Number 2: magnetic moment 0.58 μB/f.u.. Number 3: magnetic moment 4.00 μB/f.u.. Number 4: magnetic moment 0.00 μB/f.u..